No. 1
First-principles (PBE-GGA) data for crystalline Nd2GaCuPt6 at its relaxed geometry, as listed in the Alexandria database.

Values from the calculation:
* E_tot: -56.1 eV per cell
* spin magnetization: 0.00 μB/f.u.

Unit cell a=6.647 b=6.647 c=6.647 alpha=60.00 beta=60.00 gamma=60.00
Element x y z (fractional)
Nd 0.250 0.250 0.250
Nd 0.750 0.750 0.750
Ga 0.000 0.000 0.000
Cu 0.500 0.500 0.500
Pt 0.250 0.250 0.750
Pt 0.250 0.750 0.250
Pt 0.250 0.750 0.750
Pt 0.750 0.250 0.250
Pt 0.750 0.250 0.750
Pt 0.750 0.750 0.250

***

No. 2
First-principles (PBE-GGA) data for crystalline Nd2Ga3CuPt4 at its relaxed geometry, as listed in the Alexandria database.

Values from the calculation:
* E_tot: -55.6 eV per cell
* spin magnetization: 0.00 μB/f.u.

Unit cell a=4.149 b=4.149 c=11.074 alpha=90.00 beta=90.00 gamma=90.00
Element x y z (fractional)
Nd 0.000 0.500 0.245
Nd 0.500 0.000 0.755
Ga 0.000 0.000 0.000
Ga 0.000 0.500 0.633
Ga 0.500 0.000 0.367
Cu 0.500 0.500 0.000
Pt 0.000 0.000 0.500
Pt 0.000 0.500 0.860
Pt 0.500 0.000 0.140
Pt 0.500 0.500 0.500

***

No. 3
First-principles (PBE-GGA) data for crystalline NdGaCuPt3 at its relaxed geometry, as listed in the Alexandria database.

Values from the calculation:
* E_tot: -66.6 eV per cell
* spin magnetization: 0.00 μB/f.u.

Unit cell a=6.822 b=6.822 c=5.731 alpha=90.00 beta=90.00 gamma=121.35
Element x y z (fractional)
Nd 0.209 0.791 0.750
Nd 0.791 0.209 0.250
Ga 0.133 0.867 0.250
Ga 0.867 0.133 0.750
Cu 0.444 0.556 0.750
Cu 0.556 0.444 0.250
Pt 0.210 0.210 0.000
Pt 0.210 0.210 0.500
Pt 0.336 0.664 0.250
Pt 0.664 0.336 0.750
Pt 0.790 0.790 0.000
Pt 0.790 0.790 0.500

***

No. 4
First-principles (PBE-GGA) data for crystalline NdGaCu2Pt at its relaxed geometry, as listed in the Alexandria database.

Values from the calculation:
* E_tot: -24.5 eV per cell
* spin magnetization: 0.00 μB/f.u.

Unit cell a=6.124 b=6.124 c=6.124 alpha=141.86 beta=140.21 gamma=56.30
Element x y z (fractional)
Nd 0.000 0.000 0.000
Ga 0.376 0.376 0.000
Cu 0.600 0.600 0.000
Cu 0.745 0.245 0.500
Pt 0.236 0.736 0.500

***

Calculated formation energy values (in meV/atom) by entry order: -319 -877 -548 -493.
Calculated density values (in kg/m³) by entry order: 12733 11686 12579 9883.